(1)
DFT (PBE-GGA) results for an optimized crystal structure of HoPtF7.

Structure (POSCAR):
```
HoPtF7
1.0
-4.733 2.818 0.455
-3.350 -6.442 5.056
1.636 0.843 11.803
F Ho Pt
28 4 4
Direct
0.254 0.977 0.449
0.084 0.970 0.732
0.464 0.275 0.863
0.060 0.278 0.043
0.562 0.297 0.085
0.438 0.703 0.915
0.949 0.253 0.824
0.536 0.725 0.137
0.584 0.030 0.768
0.916 0.030 0.268
0.746 0.023 0.551
0.964 0.725 0.637
0.726 0.522 0.358
0.246 0.977 0.949
0.226 0.478 0.142
0.774 0.522 0.858
0.051 0.747 0.176
0.940 0.722 0.957
0.938 0.297 0.585
0.560 0.722 0.457
0.062 0.703 0.415
0.274 0.478 0.642
0.754 0.023 0.051
0.036 0.275 0.363
0.449 0.747 0.676
0.416 0.970 0.232
0.440 0.278 0.543
0.551 0.253 0.324
0.239 0.186 0.235
0.739 0.814 0.265
0.261 0.186 0.735
0.761 0.814 0.765
0.242 0.728 0.043
0.258 0.728 0.543
0.758 0.272 0.957
0.742 0.272 0.457
```

Calculated values
SG ... P2_1/c (14)
Fermi-level density of states ... 0.00 states/eV/f.u.
DFT total energy ... -5.23 eV/atom

=====

(2)
DFT (PBE-GGA) results for an optimized crystal structure of K3ZrNb2O9.

Structure (POSCAR):
```
K3ZrNb2O9
1.0
-1.963 -1.126 5.365
5.660 -0.617 -1.218
1.138 6.800 1.843
O K Nb Zr
9 3 2 1
Direct
0.342 0.171 0.674
0.829 0.171 0.674
0.171 0.342 0.326
0.658 0.829 0.326
0.000 0.500 0.000
0.500 0.500 0.000
0.500 0.000 0.000
0.171 0.829 0.326
0.829 0.658 0.674
0.667 0.333 0.331
0.000 0.000 0.000
0.333 0.667 0.669
0.667 0.333 0.831
0.333 0.667 0.169
0.000 0.000 0.500
```

Calculated values
SG ... P-3m1 (164)
Fermi-level density of states ... 7.87 states/eV/f.u.
DFT total energy ... -7.54 eV/atom